HfTiC2 | PBE | relaxed

Properties
SG   R3m, No. 160
Formation enthalpy at 0 K   -464 meV per atom
DOS(E_F)   0.60 states/eV/f.u.
Energy above the most stable polymorph in this dataset   364.8 meV per atom
VASP energy   -38.2 eV/f.u.

Lattice parameters (Å, degrees): 5.696 5.696 5.696 32.49 32.49 32.49
Fractional positions:
Hf (0.000, 0.000, 0.000)
Ti (0.826, 0.826, 0.826)
C (0.415, 0.415, 0.415)
C (0.576, 0.576, 0.576)